Entry 1
A relaxed SrTb2 crystal. Source: Alexandria, functional PBE.

Values from the calculation:
The density of states at the Fermi level is 4.3 states/eV/f.u.

Cell lengths 8.488, 8.488, 8.488 Å; angles 154.60, 154.60, 36.22 degrees
Atoms (fractional coordinates):
Sr  0.000  0.000  0.000
Tb  0.320  0.320  0.000
Tb  0.680  0.680  0.000

Entry 2
A relaxed SrTb2 crystal. Source: Alexandria, functional PBE.

Values from the calculation:
The density of states at the Fermi level is 5.1 states/eV/f.u.

Cell lengths 6.940, 6.940, 6.940 Å; angles 60.00, 60.00, 60.00 degrees
Atoms (fractional coordinates):
Sr  0.125  0.125  0.125
Sr  0.875  0.875  0.875
Tb  0.000  0.500  0.500
Tb  0.500  0.000  0.500
Tb  0.500  0.500  0.000
Tb  0.500  0.500  0.500

Name the most stable of them. entry 1.